w:
The following is a DFT calculation (PBE) of a relaxed structure of Na2CrBr4.

Lattice parameters (Å, degrees): 4.099 7.271 7.271 106.96 90.00 90.00
Each line ends with the local moment (μB).
Fractional coordinates of all 7 atoms:
Br 0.500 0.788 0.788  -0.01
Br 0.000 0.224 0.776  -0.02
Br 0.000 0.776 0.224  -0.02
Br 0.500 0.212 0.212  -0.01
Na 0.500 0.500 0.000  0.00
Na 0.500 0.000 0.500  0.00
Cr 0.000 0.000 0.000  3.67

Properties
- crystal system = orthorhombic

=====

x:
The following is a DFT calculation (PBE) of a relaxed structure of Na2CrBr4.

Lattice parameters (Å, degrees): 5.281 5.281 8.293 71.43 71.43 90.00
Each line ends with the local moment (μB).
Fractional coordinates of all 7 atoms:
Br 0.000 0.500 0.000  -0.01
Br 0.500 0.000 0.000  -0.01
Br 0.173 0.173 0.653  -0.01
Br 0.827 0.827 0.347  -0.01
Na 0.367 0.367 0.267  0.00
Na 0.633 0.633 0.733  0.00
Cr 0.000 0.000 0.000  3.65

Properties
- crystal system = tetragonal

=====

Most stable structure, least stable structure: w, x.

=====

w:
The following is a DFT calculation (PBE) of a relaxed structure of NaCr3Br.

Lattice parameters (Å, degrees): 5.286 5.286 5.286 90.00 90.00 90.00
Each line ends with the local moment (μB).
Fractional coordinates of all 5 atoms:
Cr 0.000 0.000 0.500  4.29
Cr 0.500 0.000 0.000  4.21
Cr 0.000 0.500 0.000  4.28
Na 0.000 0.000 0.000  0.05
Br 0.500 0.500 0.500  0.11

Properties
- crystal system = cubic

=====

x:
The following is a DFT calculation (PBE) of a relaxed structure of NaCr3Br.

Lattice parameters (Å, degrees): 4.461 4.461 4.461 90.00 90.00 90.00
Each line ends with the local moment (μB).
Fractional coordinates of all 5 atoms:
Cr 0.000 0.000 0.500  0.60
Cr 0.500 0.000 0.000  0.42
Cr 0.000 0.500 0.000  0.39
Br 0.000 0.000 0.000  -0.02
Na 0.500 0.500 0.500  -0.01

Properties
- crystal system = cubic

=====

Most stable structure, least stable structure: x, w.

=====

w:
The following is a DFT calculation (PBE) of a relaxed structure of NaTiCr2Br.

Lattice parameters (Å, degrees): 5.062 5.385 5.062 90.00 90.00 90.00
Each line ends with the local moment (μB).
Fractional coordinates of all 5 atoms:
Cr 0.500 0.000 0.000  4.12
Cr 0.000 0.000 0.500  4.17
Br 0.500 0.500 0.500  0.07
Ti 0.000 0.500 0.000  -1.93
Na 0.000 0.000 0.000  0.01

Properties
- crystal system = tetragonal

=====

x:
The following is a DFT calculation (PBE) of a relaxed structure of NaTiCr2Br.

Lattice parameters (Å, degrees): 4.863 5.163 4.863 90.00 90.00 90.00
Each line ends with the local moment (μB).
Fractional coordinates of all 5 atoms:
Cr 0.500 0.000 0.000  3.74
Cr 0.000 0.000 0.500  3.21
Na 0.500 0.500 0.500  0.01
Ti 0.000 0.000 0.000  -0.68
Br 0.000 0.500 0.000  0.09

Properties
- crystal system = tetragonal

=====

Most stable structure, least stable structure: x, w.

=====

w:
The following is a DFT calculation (PBE) of a relaxed structure of Nb2CrBr.

Lattice parameters (Å, degrees): 5.226 5.226 7.684 70.12 70.12 90.00
Fractional coordinates of all 8 atoms:
Nb 0.191 0.625 0.250
Nb 0.559 0.125 0.250
Nb 0.375 0.441 0.750
Nb 0.875 0.809 0.750
Br 0.750 0.250 0.500
Br 0.000 0.000 0.000
Cr 0.250 0.750 0.500
Cr 0.500 0.500 0.000

Properties
- crystal system = tetragonal

=====

x:
The following is a DFT calculation (PBE) of a relaxed structure of Nb2CrBr.

Lattice parameters (Å, degrees): 4.555 4.555 4.555 60.00 60.00 60.00
Fractional coordinates of all 4 atoms:
Nb 0.250 0.250 0.250
Nb 0.750 0.750 0.750
Br 0.500 0.500 0.500
Cr 0.000 0.000 0.000

Properties
- crystal system = cubic

=====

Most stable structure, least stable structure: x, w.

=====

w:
The following is a DFT calculation (PBE) of a relaxed structure of CrNiBr.

Lattice parameters (Å, degrees): 4.230 4.230 4.230 60.00 60.00 60.00
Each line ends with the local moment (μB).
Fractional coordinates of all 3 atoms:
Ni 0.000 0.000 0.000  -0.04
Br 0.500 0.500 0.500  -0.03
Cr 0.250 0.250 0.250  3.02

Properties
- crystal system = cubic

=====

x:
The following is a DFT calculation (PBE) of a relaxed structure of CrNiBr.

Lattice parameters (Å, degrees): 4.260 4.260 4.260 60.00 60.00 60.00
Each line ends with the local moment (μB).
Fractional coordinates of all 3 atoms:
Br 0.250 0.250 0.250  0.04
Cr 0.000 0.000 0.000  3.84
Ni 0.500 0.500 0.500  0.25

Properties
- crystal system = cubic

=====

Most stable structure, least stable structure: w, x.

=====

w:
The following is a DFT calculation (PBE) of a relaxed structure of CrNi2Br.

Lattice parameters (Å, degrees): 4.298 4.298 4.298 60.00 60.00 60.00
Each line ends with the local moment (μB).
Fractional coordinates of all 4 atoms:
Cr 0.750 0.750 0.750  2.97
Br 0.500 0.500 0.500  -0.03
Ni 0.000 0.000 0.000  -0.20
Ni 0.250 0.250 0.250  -0.01

Properties
- crystal system = cubic

=====

x:
The following is a DFT calculation (PBE) of a relaxed structure of CrNi2Br.

Lattice parameters (Å, degrees): 6.246 6.246 6.246 33.73 33.73 33.73
Each line ends with the local moment (μB).
Fractional coordinates of all 4 atoms:
Cr 0.732 0.732 0.732  3.19
Ni 0.993 0.993 0.993  -0.19
Ni 0.278 0.278 0.278  -0.34
Br 0.496 0.496 0.496  -0.04

Properties
- crystal system = trigonal

=====

y:
The following is a DFT calculation (PBE) of a relaxed structure of CrNi2Br.

Lattice parameters (Å, degrees): 5.053 5.053 5.053 145.60 128.78 63.17
Each line ends with the local moment (μB).
Fractional coordinates of all 4 atoms:
Br 0.750 0.250 0.500  -0.03
Cr 0.250 0.750 0.500  3.10
Ni 0.505 0.505 0.000  0.29
Ni 0.995 0.995 0.000  0.29

Properties
- crystal system = orthorhombic

=====

Most stable structure, least stable structure: x, w.

=====

w:
The following is a DFT calculation (PBE) of a relaxed structure of CrNi2Br.

Lattice parameters (Å, degrees): 2.690 2.690 8.318 90.00 90.00 90.00
Each line ends with the local moment (μB).
Fractional coordinates of all 4 atoms:
Ni 0.000 0.000 0.559  0.03
Ni 0.000 0.000 0.941  0.03
Cr 0.500 0.500 0.750  0.42
Br 0.500 0.500 0.250  0.00

Properties
- crystal system = tetragonal

=====

x:
The following is a DFT calculation (PBE) of a relaxed structure of CrNi2Br.

Lattice parameters (Å, degrees): 5.006 5.006 5.006 143.82 128.97 64.15
Each line ends with the local moment (μB).
Fractional coordinates of all 4 atoms:
Ni 0.990 0.990 0.000  0.33
Ni 0.745 0.245 0.500  0.24
Br 0.510 0.510 0.000  0.00
Cr 0.256 0.756 0.500  3.26

Properties
- crystal system = orthorhombic

=====

y:
The following is a DFT calculation (PBE) of a relaxed structure of CrNi2Br.

Lattice parameters (Å, degrees): 3.057 4.329 4.273 90.00 90.00 90.00
Each line ends with the local moment (μB).
Fractional coordinates of all 4 atoms:
Ni 0.500 0.500 0.000  0.47
Ni 0.000 0.000 0.000  0.52
Cr 0.000 0.500 0.500  3.19
Br 0.500 0.000 0.500  0.01

Properties
- crystal system = orthorhombic

=====

z:
The following is a DFT calculation (PBE) of a relaxed structure of CrNi2Br.

Lattice parameters (Å, degrees): 4.332 4.332 4.332 60.00 60.00 60.00
Each line ends with the local moment (μB).
Fractional coordinates of all 4 atoms:
Cr 0.000 0.000 0.000  3.37
Ni 0.750 0.750 0.750  0.03
Ni 0.250 0.250 0.250  0.03
Br 0.500 0.500 0.500  0.01

Properties
- crystal system = cubic

=====

Most stable structure, least stable structure: w, z.

=====

w:
The following is a DFT calculation (PBE) of a relaxed structure of CrNiBr3.

Lattice parameters (Å, degrees): 5.120 5.120 5.120 90.00 90.00 90.00
Each line ends with the local moment (μB).
Fractional coordinates of all 5 atoms:
Ni 0.500 0.500 0.500  -0.91
Br 0.500 0.000 0.000  -0.02
Br 0.000 0.000 0.500  -0.02
Br 0.000 0.500 0.000  -0.02
Cr 0.000 0.000 0.000  3.55

Properties
- crystal system = cubic

=====

x:
The following is a DFT calculation (PBE) of a relaxed structure of CrNiBr3.

Lattice parameters (Å, degrees): 4.942 4.942 4.942 90.00 90.00 90.00
Each line ends with the local moment (μB).
Fractional coordinates of all 5 atoms:
Br 0.000 0.500 0.000  -0.02
Br 0.000 0.000 0.500  -0.02
Br 0.500 0.000 0.000  -0.02
Cr 0.500 0.500 0.500  4.25
Ni 0.000 0.000 0.000  -0.10

Properties
- crystal system = cubic

=====

Most stable structure, least stable structure: x, w.